Run 1
Na2ScPt | PBE | optimized geometry

The space group is Fm-3m (No. 225) and the conventional cell measures 6.880, 6.880 and 6.880 Å, with angles of 90.00, 90.00 and 90.00 degrees. The inequivalent atoms are Na at (0.250, 0.250, 0.250), Sc at (0.000, 0.000, 0.000) and Pt at (0.000, 0.000, 0.500).


Run 2
Na2ScPt | PBE | optimized geometry

The space group is I-42d (No. 122) and the conventional cell measures 3.914, 3.914 and 23.023 Å, with angles of 90.00, 90.00 and 90.00 degrees. The inequivalent atoms are Na at (0.227, 0.250, 0.125), Sc at (0.000, 0.000, 0.500) and Pt at (0.000, 0.000, 0.000).


Stability verdict: run 2, ahead by 32.8 kJ/mol of atoms


Run 1
NaSc3Pt | PBE | optimized geometry

The space group is Pm-3m (No. 221) and the conventional cell measures 5.190, 5.190 and 5.190 Å, with angles of 90.00, 90.00 and 90.00 degrees. The inequivalent atoms are Na at (0.000, 0.000, 0.000), Sc at (0.000, 0.500, 0.500) and Pt at (0.500, 0.500, 0.500).


Run 2
NaSc3Pt | PBE | optimized geometry

The space group is Pm-3m (No. 221) and the conventional cell measures 4.935, 4.935 and 4.935 Å, with angles of 90.00, 90.00 and 90.00 degrees. The inequivalent atoms are Na at (0.000, 0.000, 0.000), Sc at (0.000, 0.000, 0.500) and Pt at (0.500, 0.500, 0.500).


Stability verdict: run 1, ahead by 122.4 kJ/mol of atoms


Run 1
NaPtSe | PBE | optimized geometry

The space group is P2/m (No. 10) and the conventional cell measures 5.177, 3.780 and 7.356 Å, with angles of 90.00, 101.80 and 90.00 degrees. The inequivalent atoms are Na at (0.134, 0.000, 0.274), Pt at (0.500, 0.000, 0.000), Pt at (0.500, 0.500, 0.500) and Se at (0.339, 0.500, 0.784).


Run 2
NaPtSe | PBE | optimized geometry

The space group is Pm (No. 6) and the conventional cell measures 4.868, 3.744 and 7.882 Å, with angles of 90.00, 104.29 and 90.00 degrees. The inequivalent atoms are Na at (0.000, 0.000, 0.000), Na at (0.091, 0.000, 0.575), Pt at (0.455, 0.500, 0.842), Pt at (0.507, 0.000, 0.349), Se at (0.562, 0.500, 0.154) and Se at (0.589, 0.500, 0.567).


Run 3
NaPtSe | PBE | optimized geometry

The space group is C2/m (No. 12) and the conventional cell measures 11.547, 4.466 and 7.581 Å, with angles of 90.00, 130.99 and 90.00 degrees. The inequivalent atoms are Na at (0.244, 0.000, 0.244), Pt at (0.000, 0.000, 0.327) and Se at (0.001, 0.500, 0.225).


Run 4
NaPtSe | PBE | optimized geometry

The space group is P-6m2 (No. 187) and the conventional cell measures 4.2238, 4.2238 and 4.3918 Å, with angles of 90.00, 90.00 and 120.00 degrees. The inequivalent atoms are Na at (0.0000, 0.0000, 0.0000), Pt at (0.3333, 0.6667, 0.5000) and Se at (0.6667, 0.3333, 0.5000).


Stability verdict: run 1, ahead by 5.4 kJ/mol of atoms


Run 1
NaPt3Se | PBE | optimized geometry

The space group is Pm-3m (No. 221) and the conventional cell measures 4.756, 4.756 and 4.756 Å, with angles of 90.00, 90.00 and 90.00 degrees. The inequivalent atoms are Na at (0.000, 0.000, 0.000), Pt at (0.000, 0.500, 0.500) and Se at (0.500, 0.500, 0.500).


Run 2
NaPt3Se | PBE | optimized geometry

The space group is Pm-3m (No. 221) and the conventional cell measures 4.670, 4.670 and 4.670 Å, with angles of 90.00, 90.00 and 90.00 degrees. The inequivalent atoms are Na at (0.000, 0.000, 0.000), Pt at (0.000, 0.000, 0.500) and Se at (0.500, 0.500, 0.500).


Stability verdict: run 1, ahead by 125.4 kJ/mol of atoms


Run 1
Na2SiPt2 | PBE | optimized geometry

The space group is P4/mbm (No. 127) and the conventional cell measures 6.200, 6.200 and 5.015 Å, with angles of 90.00, 90.00 and 90.00 degrees. The inequivalent atoms are Na at (0.169, 0.331, 0.000), Si at (0.000, 0.000, 0.500) and Pt at (0.152, 0.652, 0.500).


Run 2
Na2SiPt2 | PBE | optimized geometry

The space group is C2/c (No. 15) and the conventional cell measures 9.389, 6.052 and 7.271 Å, with angles of 90.00, 98.80 and 90.00 degrees. The inequivalent atoms are Na at (0.145, 0.118, 0.138), Si at (0.000, 0.455, 0.750) and Pt at (0.131, 0.362, 0.509).


Stability verdict: run 2, ahead by 9.3 kJ/mol of atoms


Run 1
NaSi3Pt | PBE | optimized geometry

The space group is Cm (No. 8) and the conventional cell measures 5.821, 5.832 and 5.934 Å, with angles of 90.00, 119.31 and 90.00 degrees. The inequivalent atoms are Na at (0.000, 0.000, 0.000), Si at (0.002, 0.250, 0.505), Si at (0.112, 0.500, 0.222) and Pt at (0.376, 0.000, 0.753).


Run 2
NaSi3Pt | PBE | optimized geometry

The space group is Pm-3m (No. 221) and the conventional cell measures 4.723, 4.723 and 4.723 Å, with angles of 90.00, 90.00 and 90.00 degrees. The inequivalent atoms are Na at (0.000, 0.000, 0.000), Si at (0.000, 0.000, 0.500) and Pt at (0.500, 0.500, 0.500).


Stability verdict: run 1, ahead by 192.6 kJ/mol of atoms


Run 1
NaSnPt3 | PBE | optimized geometry

The space group is Pm-3m (No. 221) and the conventional cell measures 4.674, 4.674 and 4.674 Å, with angles of 90.00, 90.00 and 90.00 degrees. The inequivalent atoms are Na at (0.000, 0.000, 0.000), Sn at (0.500, 0.500, 0.500) and Pt at (0.000, 0.000, 0.500).


Run 2
NaSnPt3 | PBE | optimized geometry

The space group is Imma (No. 74) and the conventional cell measures 5.467, 7.337 and 10.069 Å, with angles of 90.00, 90.00 and 90.00 degrees. The inequivalent atoms are Na at (0.000, 0.000, 0.000), Sn at (0.000, 0.250, 0.478), Pt at (0.000, 0.065, 0.700) and Pt at (0.250, 0.250, 0.250).


Run 3
NaSnPt3 | PBE | optimized geometry

The space group is Pm-3m (No. 221) and the conventional cell measures 5.019, 5.019 and 5.019 Å, with angles of 90.00, 90.00 and 90.00 degrees. The inequivalent atoms are Na at (0.000, 0.000, 0.000), Sn at (0.500, 0.500, 0.500) and Pt at (0.000, 0.500, 0.500).


Stability verdict: run 2, ahead by 70.6 kJ/mol of atoms


Run 1
Na2Sn4Pt | PBE | optimized geometry

The space group is I4/mmm (No. 139) and the conventional cell measures 5.233, 5.233 and 16.189 Å, with angles of 90.00, 90.00 and 90.00 degrees. The inequivalent atoms are Na at (0.000, 0.000, 0.140), Sn at (0.000, 0.000, 0.331), Sn at (0.000, 0.500, 0.000) and Pt at (0.000, 0.000, 0.500).


Run 2
Na2Sn4Pt | PBE | optimized geometry

The space group is Cmmm (No. 65) and the conventional cell measures 6.185, 13.890 and 4.909 Å, with angles of 90.00, 90.00 and 90.00 degrees. The inequivalent atoms are Na at (0.000, 0.129, 0.000), Sn at (0.000, 0.286, 0.500), Sn at (0.000, 0.399, 0.000) and Pt at (0.000, 0.500, 0.500).


Stability verdict: run 2, ahead by 5.7 kJ/mol of atoms


Run 1
Na6Sn2Pt | PBE | optimized geometry

The space group is C2/m (No. 12) and the conventional cell measures 8.659, 15.742 and 3.834 Å, with angles of 90.00, 106.90 and 90.00 degrees. The inequivalent atoms are Na at (0.187, 0.172, 0.268), Na at (0.200, 0.000, 0.794), Sn at (0.000, 0.374, 0.000) and Pt at (0.000, 0.500, 0.500).


Run 2
Na6Sn2Pt | PBE | optimized geometry

The space group is R-3m (No. 166, hexagonal axes) and the conventional cell measures 5.3422, 5.3422 and 30.2921 Å, with angles of 90.00, 90.00 and 120.00 degrees. The inequivalent atoms are Na at (0.0000, 0.0000, 0.0845), Na at (0.0000, 0.0000, 0.1936), Na at (0.0000, 0.0000, 0.3074), Sn at (0.0000, 0.0000, 0.4143) and Pt at (0.0000, 0.0000, 0.5000).


Stability verdict: run 2, ahead by 4.1 kJ/mol of atoms


Run 1
Na2SrPt2 | PBE | optimized geometry

The space group is I4/mmm (No. 139) and the conventional cell measures 4.264, 4.264 and 13.420 Å, with angles of 90.00, 90.00 and 90.00 degrees. The inequivalent atoms are Na at (0.000, 0.500, 0.250), Sr at (0.000, 0.000, 0.000) and Pt at (0.000, 0.000, 0.402).


Run 2
Na2SrPt2 | PBE | optimized geometry

The space group is P4/mbm (No. 127) and the conventional cell measures 8.386, 8.386 and 3.057 Å, with angles of 90.00, 90.00 and 90.00 degrees. The inequivalent atoms are Na at (0.112, 0.388, 0.000), Sr at (0.000, 0.000, 0.000) and Pt at (0.186, 0.686, 0.500).


Stability verdict: run 1, ahead by 9.6 kJ/mol of atoms


Run 1
NaSrPt | PBE | optimized geometry

The space group is P3m1 (No. 156) and the conventional cell measures 4.8221, 4.8221 and 3.9935 Å, with angles of 90.00, 90.00 and 120.00 degrees. The inequivalent atoms are Na at (0.0000, 0.0000, 0.0000), Sr at (0.6667, 0.3333, 0.4984) and Pt at (0.3333, 0.6667, 0.9948).


Run 2
NaSrPt | PBE | optimized geometry

The space group is P2_1/m (No. 11) and the conventional cell measures 7.890, 4.415 and 13.654 Å, with angles of 90.00, 90.45 and 90.00 degrees. The inequivalent atoms are Na at (0.008, 0.250, 0.083), Na at (0.130, 0.750, 0.538), Na at (0.381, 0.250, 0.200), Sr at (0.054, 0.750, 0.283), Sr at (0.343, 0.250, 0.916), Sr at (0.452, 0.250, 0.619), Pt at (0.240, 0.750, 0.749), Pt at (0.260, 0.750, 0.076) and Pt at (0.262, 0.250, 0.410).


Run 3
NaSrPt | PBE | optimized geometry

The space group is P2_1/m (No. 11) and the conventional cell measures 4.106, 4.549 and 10.207 Å, with angles of 90.00, 90.04 and 90.00 degrees. The inequivalent atoms are Na at (0.001, 0.250, 0.375), Sr at (0.499, 0.250, 0.848) and Pt at (0.000, 0.250, 0.084).


Stability verdict: run 3, ahead by 0.9 kJ/mol of atoms